# 1
Entry from Alexandria via LeMat-Bulk: a relaxed AcPm2Au crystal (PBE-GGA).

Summary:
- DOS(E_F) (states/eV per atom) = 1.093
- formation energy (eV per atom) = -0.389
- calculated density (g/cm³) = 8.98
- total moment (μB/f.u.) = 0.00
- E above lowest polymorph (meV per atom) = 0.0

Unit cell a=7.335 b=10.593 c=6.795 alpha=90.00 beta=90.00 gamma=90.00
Fractional coordinates of all 16 atoms:
Ac  0.015  0.250  0.136
Ac  0.485  0.750  0.636
Ac  0.515  0.250  0.364
Ac  0.985  0.750  0.864
Pm  0.186  0.052  0.670
Pm  0.186  0.448  0.670
Pm  0.314  0.552  0.170
Pm  0.314  0.948  0.170
Pm  0.686  0.052  0.830
Pm  0.686  0.448  0.830
Pm  0.814  0.552  0.330
Pm  0.814  0.948  0.330
Au  0.106  0.750  0.407
Au  0.394  0.250  0.907
Au  0.606  0.750  0.093
Au  0.894  0.250  0.593

# 2
Entry from Alexandria via LeMat-Bulk: a relaxed SbBr3F crystal (PBE-GGA).

Summary:
- DOS(E_F) (states/eV per atom) = 4.731
- uncorrected formation energy (kJ/mol of atoms) = -25
- calculated density (g/cm³) = 3.81
- total moment (μB/f.u.) = 0.74
- E above lowest polymorph (meV per atom) = 565.9

Unit cell a=5.496 b=5.496 c=5.496 alpha=90.00 beta=90.00 gamma=90.00
Fractional coordinates of all 5 atoms:
Sb  0.000  0.000  0.000
Br  0.000  0.000  0.500
Br  0.000  0.500  0.000
Br  0.500  0.000  0.000
F  0.500  0.500  0.500

# 3
Entry from Alexandria via LeMat-Bulk: a relaxed CaZnNi2P crystal (PBE-GGA).

Summary:
- DOS(E_F) (states/eV per atom) = 0.707
- formation energy (eV per atom) = -0.027
- calculated density (g/cm³) = 4.27
- total moment (μB/f.u.) = 0.73

Unit cell a=4.275 b=4.275 c=5.407 alpha=90.00 beta=90.00 gamma=90.00
Fractional coordinates of all 5 atoms:
Ca  0.000  0.000  0.000
Zn  0.500  0.500  0.000
Ni  0.000  0.500  0.500
Ni  0.500  0.000  0.500
P  0.000  0.000  0.500

# 4
Entry from Alexandria via LeMat-Bulk: a relaxed TaTl2Os crystal (PBE-GGA).

Summary:
- DOS(E_F) (states/eV per atom) = 0.685
- formation energy (eV per atom) = 0.861
- calculated density (g/cm³) = 16.68
- total moment (μB/f.u.) = 0.00
- E above lowest polymorph (meV per atom) = 562.2

Unit cell a=4.276 b=4.276 c=8.491 alpha=90.00 beta=90.00 gamma=90.00
Fractional coordinates of all 8 atoms:
Ta  0.000  0.000  0.000
Ta  0.500  0.500  0.500
Tl  0.000  0.000  0.500
Tl  0.000  0.500  0.750
Tl  0.500  0.000  0.250
Tl  0.500  0.500  0.000
Os  0.000  0.500  0.250
Os  0.500  0.000  0.750

# 5
Entry from Alexandria via LeMat-Bulk: a relaxed Sb4Pt crystal (PBE-GGA).

Summary:
- DOS(E_F) (states/eV per atom) = 0.870
- uncorrected formation energy (kJ/mol of atoms) = 12
- calculated density (g/cm³) = 8.03
- total moment (μB/f.u.) = 0.00
- E above lowest polymorph (meV per atom) = 111.6

Unit cell a=6.560 b=6.560 c=6.560 alpha=90.00 beta=90.00 gamma=90.00
Fractional coordinates of all 10 atoms:
Sb  0.250  0.250  0.250
Sb  0.250  0.250  0.750
Sb  0.250  0.750  0.250
Sb  0.250  0.750  0.750
Sb  0.750  0.250  0.250
Sb  0.750  0.250  0.750
Sb  0.750  0.750  0.250
Sb  0.750  0.750  0.750
Pt  0.000  0.000  0.000
Pt  0.500  0.500  0.500

# 6
Entry from Alexandria via LeMat-Bulk: a relaxed Ca4LaCo crystal (PBE-GGA).

Summary:
- DOS(E_F) (states/eV per atom) = 1.568
- formation energy (eV per atom) = 0.741
- calculated density (g/cm³) = 2.68
- total moment (μB/f.u.) = 1.80

Unit cell a=6.799 b=6.799 c=6.799 alpha=60.00 beta=60.00 gamma=60.00
Fractional coordinates of all 6 atoms:
Ca  0.125  0.125  0.125
Ca  0.125  0.125  0.626
Ca  0.125  0.626  0.125
Ca  0.626  0.125  0.125
La  0.500  0.500  0.500
Co  0.750  0.750  0.750

# 7
Entry from Alexandria via LeMat-Bulk: a relaxed Lu2CdPd crystal (PBE-GGA).

Summary:
- DOS(E_F) (states/eV per atom) = 0.723
- formation energy (eV per atom) = -0.636
- calculated density (g/cm³) = 10.49
- total moment (μB/f.u.) = 0.00
- E above lowest polymorph (meV per atom) = 0.0

Unit cell a=3.502 b=3.502 c=7.340 alpha=90.00 beta=90.00 gamma=90.00
Fractional coordinates of all 4 atoms:
Lu  0.000  0.000  0.224
Lu  0.000  0.000  0.776
Cd  0.500  0.500  0.500
Pd  0.500  0.500  0.000

# 8
Entry from Alexandria via LeMat-Bulk: a relaxed LaGeSb3 crystal (PBE-GGA).

Summary:
- DOS(E_F) (states/eV per atom) = 0.843
- uncorrected formation energy (kJ/mol of atoms) = 0
- calculated density (g/cm³) = 6.21
- total moment (μB/f.u.) = 0.00
- E above lowest polymorph (meV per atom) = 0.0

Unit cell a=5.363 b=5.363 c=5.363 alpha=90.00 beta=90.00 gamma=90.00
Fractional coordinates of all 5 atoms:
La  0.000  0.000  0.000
Ge  0.500  0.500  0.500
Sb  0.000  0.500  0.500
Sb  0.500  0.000  0.500
Sb  0.500  0.500  0.000

# 9
Entry from Alexandria via LeMat-Bulk: a relaxed Li2ReNiAs crystal (PBE-GGA).

Summary:
- DOS(E_F) (states/eV per atom) = 0.481
- formation energy (eV per atom) = 0.935
- calculated density (g/cm³) = 6.54
- total moment (μB/f.u.) = 3.95

Unit cell a=4.413 b=4.413 c=4.354 alpha=90.00 beta=90.00 gamma=90.00
Fractional coordinates of all 5 atoms:
Li  0.000  0.500  0.000
Li  0.500  0.000  0.000
Re  0.000  0.000  0.500
Ni  0.500  0.500  0.500
As  0.500  0.500  0.000

# 10
Entry from Alexandria via LeMat-Bulk: a relaxed Ho5CdGa2 crystal (PBE-GGA).

Summary:
- DOS(E_F) (states/eV per atom) = 0.846
- formation energy (eV per atom) = -0.399
- calculated density (g/cm³) = 8.46
- total moment (μB/f.u.) = 0.00
- E above lowest polymorph (meV per atom) = 0.0

Unit cell a=9.092 b=9.092 c=9.092 alpha=130.68 beta=130.68 gamma=72.32
Fractional coordinates of all 16 atoms:
Ho  0.000  0.000  0.000
Ho  0.025  0.525  0.839
Ho  0.186  0.025  0.500
Ho  0.314  0.814  0.839
Ho  0.475  0.314  0.500
Ho  0.500  0.500  0.000
Ho  0.525  0.686  0.500
Ho  0.686  0.186  0.161
Ho  0.814  0.975  0.500
Ho  0.975  0.475  0.161
Cd  0.250  0.250  0.000
Cd  0.750  0.750  0.000
Ga  0.122  0.378  0.500
Ga  0.378  0.878  0.255
Ga  0.622  0.122  0.745
Ga  0.878  0.622  0.500

# 11
Entry from Alexandria via LeMat-Bulk: a relaxed CaIrAu2 crystal (PBE-GGA).

Summary:
- DOS(E_F) (states/eV per atom) = 1.109
- formation energy (eV per atom) = -0.133
- calculated density (g/cm³) = 13.78
- total moment (μB/f.u.) = 0.00

Unit cell a=4.325 b=4.325 c=8.070 alpha=90.00 beta=90.00 gamma=90.00
Fractional coordinates of all 8 atoms:
Ca  0.000  0.000  0.000
Ca  0.500  0.500  0.500
Ir  0.000  0.000  0.500
Ir  0.500  0.500  0.000
Au  0.000  0.500  0.250
Au  0.000  0.500  0.750
Au  0.500  0.000  0.250
Au  0.500  0.000  0.750

# 12
Entry from Alexandria via LeMat-Bulk: a relaxed La4PrEr crystal (PBE-GGA).

Summary:
- DOS(E_F) (states/eV per atom) = 2.009
- formation energy (eV per atom) = 0.098
- calculated density (g/cm³) = 6.68
- total moment (μB/f.u.) = 0.00
- E above lowest polymorph (meV per atom) = 40.6

Unit cell a=11.344 b=6.156 c=6.152 alpha=90.00 beta=90.04 gamma=90.00
Fractional coordinates of all 12 atoms:
La  0.158  0.000  0.004
La  0.159  0.500  0.499
La  0.341  0.000  0.501
La  0.342  0.500  0.996
La  0.658  0.500  0.004
La  0.659  0.000  0.499
La  0.841  0.500  0.501
La  0.842  0.000  0.996
Pr  0.000  0.500  0.000
Pr  0.500  0.000  0.000
Er  0.000  0.000  0.500
Er  0.500  0.500  0.500

# 13
Entry from Alexandria via LeMat-Bulk: a relaxed DyGaCoNi crystal (PBE-GGA).

Summary:
- DOS(E_F) (states/eV per atom) = 0.679
- formation energy (eV per atom) = -0.309
- calculated density (g/cm³) = 9.49
- total moment (μB/f.u.) = 0.54

Unit cell a=6.256 b=6.256 c=6.256 alpha=90.00 beta=90.00 gamma=90.00
Fractional coordinates of all 16 atoms:
Dy  0.000  0.000  0.000
Dy  0.000  0.500  0.500
Dy  0.500  0.000  0.500
Dy  0.500  0.500  0.000
Ga  0.000  0.000  0.500
Ga  0.000  0.500  0.000
Ga  0.500  0.000  0.000
Ga  0.500  0.500  0.500
Co  0.250  0.250  0.750
Co  0.250  0.750  0.250
Co  0.750  0.250  0.250
Co  0.750  0.750  0.750
Ni  0.250  0.250  0.250
Ni  0.250  0.750  0.750
Ni  0.750  0.250  0.750
Ni  0.750  0.750  0.250

# 14
Entry from Alexandria via LeMat-Bulk: a relaxed AcNdO2 crystal (PBE-GGA).

Summary:
- DOS(E_F) (states/eV per atom) = 0.192
- uncorrected formation energy (kJ/mol of atoms) = -242
- calculated density (g/cm³) = 9.17
- total moment (μB/f.u.) = 0.00
- E above lowest polymorph (meV per atom) = 142.1

Unit cell a=3.659 b=3.659 c=18.895 alpha=90.00 beta=90.00 gamma=120.00
Fractional coordinates of all 12 atoms:
Ac  0.000  0.000  0.000
Ac  0.333  0.667  0.667
Ac  0.667  0.333  0.333
Nd  0.000  0.000  0.177
Nd  0.333  0.667  0.844
Nd  0.667  0.333  0.511
O  0.000  0.000  0.580
O  0.000  0.000  0.762
O  0.333  0.667  0.246
O  0.333  0.667  0.428
O  0.667  0.333  0.095
O  0.667  0.333  0.913

# 15
Entry from Alexandria via LeMat-Bulk: a relaxed KCdHg6 crystal (PBE-GGA).

Summary:
- DOS(E_F) (states/eV per atom) = 0.445
- formation energy (eV per atom) = -0.094
- calculated density (g/cm³) = 9.11
- total moment (μB/f.u.) = 0.00
- E above lowest polymorph (meV per atom) = 16.6

Unit cell a=4.885 b=4.885 c=10.350 alpha=90.00 beta=90.00 gamma=90.00
Fractional coordinates of all 8 atoms:
K  0.000  0.000  0.000
Cd  0.000  0.000  0.500
Hg  0.000  0.500  0.324
Hg  0.000  0.500  0.676
Hg  0.500  0.000  0.324
Hg  0.500  0.000  0.676
Hg  0.500  0.500  0.143
Hg  0.500  0.500  0.857

# 16
Entry from Alexandria via LeMat-Bulk: a relaxed Ho4As2AuSe crystal (PBE-GGA).

Summary:
- DOS(E_F) (states/eV per atom) = 0.470
- uncorrected formation energy (kJ/mol of atoms) = -134
- calculated density (g/cm³) = 9.19
- total moment (μB/f.u.) = 0.00

Unit cell a=7.059 b=4.091 c=7.186 alpha=90.00 beta=109.08 gamma=90.00
Fractional coordinates of all 8 atoms:
Ho  0.239  0.000  0.249
Ho  0.241  0.500  0.744
Ho  0.759  0.500  0.256
Ho  0.761  0.000  0.751
As  0.000  0.000  0.500
As  0.000  0.500  0.000
Au  0.500  0.000  0.000
Se  0.500  0.500  0.500

# 17
Entry from Alexandria via LeMat-Bulk: a relaxed NdScTe3 crystal (PBE-GGA).

Summary:
- DOS(E_F) (states/eV per atom) = 0.053
- uncorrected formation energy (kJ/mol of atoms) = -124
- calculated density (g/cm³) = 6.22
- total moment (μB/f.u.) = 0.00

Unit cell a=9.521 b=4.298 c=14.937 alpha=90.00 beta=90.00 gamma=90.00
Fractional coordinates of all 20 atoms:
Nd  0.051  0.250  0.173
Nd  0.449  0.750  0.673
Nd  0.551  0.250  0.327
Nd  0.949  0.750  0.827
Sc  0.166  0.750  0.455
Sc  0.334  0.250  0.955
Sc  0.666  0.750  0.045
Sc  0.834  0.250  0.545
Te  0.004  0.750  0.615
Te  0.149  0.750  0.022
Te  0.200  0.250  0.781
Te  0.300  0.750  0.281
Te  0.351  0.250  0.522
Te  0.496  0.250  0.115
Te  0.504  0.750  0.885
Te  0.649  0.750  0.478
Te  0.700  0.250  0.719
Te  0.800  0.750  0.219
Te  0.851  0.250  0.978
Te  0.996  0.250  0.385

# 18
Entry from Alexandria via LeMat-Bulk: a relaxed NdVOs crystal (PBE-GGA).

Summary:
- DOS(E_F) (states/eV per atom) = 0.834
- formation energy (eV per atom) = 0.436
- calculated density (g/cm³) = 8.60
- total moment (μB/f.u.) = 0.00

Unit cell a=3.965 b=3.965 c=10.926 alpha=90.00 beta=90.00 gamma=120.00
Fractional coordinates of all 6 atoms:
Nd  0.333  0.667  0.141
Nd  0.667  0.333  0.859
V  0.333  0.667  0.650
V  0.667  0.333  0.350
Os  0.333  0.667  0.413
Os  0.667  0.333  0.587

# 19
Entry from Alexandria via LeMat-Bulk: a relaxed K2GaC2O6 crystal (PBE-GGA).

Summary:
- DOS(E_F) (states/eV per atom) = 0.266
- uncorrected formation energy (kJ/mol of atoms) = -146
- calculated density (g/cm³) = 2.65
- total moment (μB/f.u.) = 0.00

Unit cell a=6.229 b=6.229 c=6.549 alpha=114.87 beta=114.87 gamma=48.18
Fractional coordinates of all 11 atoms:
K  0.193  0.193  0.192
K  0.807  0.807  0.808
Ga  0.000  0.000  0.500
C  0.493  0.493  0.730
C  0.507  0.507  0.270
O  0.217  0.659  0.234
O  0.341  0.783  0.766
O  0.369  0.369  0.661
O  0.631  0.631  0.339
O  0.659  0.217  0.234
O  0.783  0.341  0.766

# 20
Entry from Alexandria via LeMat-Bulk: a relaxed DyBeNiN crystal (PBE-GGA).

Summary:
- DOS(E_F) (states/eV per atom) = 0.269
- uncorrected formation energy (kJ/mol of atoms) = -96
- calculated density (g/cm³) = 8.20
- total moment (μB/f.u.) = 0.00

Unit cell a=3.506 b=3.506 c=8.051 alpha=90.00 beta=90.00 gamma=90.00
Fractional coordinates of all 8 atoms:
Dy  0.250  0.250  0.155
Dy  0.750  0.750  0.845
Be  0.250  0.250  0.663
Be  0.750  0.750  0.337
Ni  0.250  0.750  0.500
Ni  0.750  0.250  0.500
N  0.250  0.250  0.865
N  0.750  0.750  0.135